Below is a relaxed SrLa2Co crystal, with properties calculated at the GGA-PBE level.

The structure in CIF format:
```
data_SrLa2Co
_cell_length_a 4.414
_cell_length_b 5.215
_cell_length_c 5.230
_cell_angle_alpha 90.00
_cell_angle_beta 90.00
_cell_angle_gamma 90.00
_symmetry_space_group_name_H-M 'P 1'
_symmetry_Int_Tables_number 1
loop_
_symmetry_equiv_pos_as_xyz
'x,y,z'
loop_
_atom_site_label
_atom_site_type_symbol
_atom_site_fract_x
_atom_site_fract_y
_atom_site_fract_z
_atom_site_occupancy
Sr1 Sr 0.000 0.000 0.000 1
La1 La 0.500 0.000 0.500 1
La2 La 0.500 0.500 0.000 1
Co1 Co 0.000 0.500 0.500 1
```

calculated total energy	-16.70	eV/cell
ρ	5854	kg/m³
formation energy from the elements	0.485	eV per atom
offset from the most stable computed form	558	meV per atom